SmFeB4 PBE relaxed; excess energy over the best structure of this formula in the dataset = 269 meV/atom; VASP energy = -6.872 eV/atom
1.0
-2.804 -1.183 -0.817
2.347 0.085 -2.101
2.002 -6.116 1.988
B Fe Sm
4 1 1
direct
0.667 0.333 0.193
0.333 0.667 0.193
0.667 0.333 0.807
0.333 0.667 0.807
0.000 0.000 0.000
0.000 0.000 0.500


FeSnB PBE relaxed; excess energy over the best structure of this formula in the dataset = 302 meV/atom; VASP energy = -5.723 eV/atom
1.0
-1.280 -2.250 -2.831
-3.397 0.716 -1.633
-0.158 1.339 -3.591
B Fe Sn
1 1 1
direct
0.000 0.000 0.000
0.250 0.250 0.250
0.750 0.750 0.750


FeSnB4 PBE relaxed; excess energy over the best structure of this formula in the dataset = 193 meV/atom; VASP energy = -6.035 eV/atom
1.0
-1.533 2.669 3.637
1.533 -2.669 3.637
1.533 2.669 -3.637
B Fe Sn
4 1 1
direct
0.591 0.256 0.335
0.079 0.744 0.335
0.921 0.256 0.665
0.409 0.744 0.665
0.000 0.000 0.000
0.500 0.500 0.000


FeSnB PBE relaxed; excess energy over the best structure of this formula in the dataset = 326 meV/atom; VASP energy = -5.699 eV/atom
1.0
-2.661 3.073 2.251
2.661 -3.073 2.251
2.661 3.073 -2.251
B Fe Sn
2 2 2
direct
0.324 0.328 0.496
0.831 0.828 0.504
0.836 0.836 0.000
0.836 0.336 0.500
0.225 0.586 0.139
0.447 0.086 0.861


- Which of these has the highest VASP energy?
  number 4


- Among the records above, which one has the highest excess energy over the best structure of this formula in the dataset?
  number 4


- What is the formula in the first record?
  SmFeB4


Repeat the first record exactly.
SmFeB4 PBE relaxed; excess energy over the best structure of this formula in the dataset = 269 meV/atom; VASP energy = -6.872 eV/atom
1.0
-2.804 -1.183 -0.817
2.347 0.085 -2.101
2.002 -6.116 1.988
B Fe Sm
4 1 1
direct
0.667 0.333 0.193
0.333 0.667 0.193
0.667 0.333 0.807
0.333 0.667 0.807
0.000 0.000 0.000
0.000 0.000 0.500